1.
DFT (PBE-GGA) results for crystalline Ba2HoS3 at its relaxed geometry.

The crystal system is trigonal. The value obtained for the total moment is 0.0 μB/f.u.

It has space group P-3m1 (No. 164), with a = 4.2342 Å, b = 4.2342 Å, c = 10.8580 Å, α = 90.00°, β = 90.00° and γ = 120.00°. The inequivalent atoms are Ba at (0.3333, 0.6667, 0.1778), Ho at (0.0000, 0.0000, 0.5000), S at (0.0000, 0.0000, 0.0000) and S at (0.3333, 0.6667, 0.6319).

2.
DFT (PBE-GGA) results for crystalline Y4CuPbC2 at its relaxed geometry.

The crystal system is hexagonal. The value obtained for the total moment is 0.0 μB/f.u.

It has space group P-6m2 (No. 187), with a = 3.6531 Å, b = 3.6531 Å, c = 14.8602 Å, α = 90.00°, β = 90.00° and γ = 120.00°. The inequivalent atoms are Y at (0.0000, 0.0000, 0.1401), Y at (0.3333, 0.6667, 0.3200), Cu at (0.3333, 0.6667, 0.0000), Pb at (0.0000, 0.0000, 0.5000) and C at (0.6667, 0.3333, 0.2307).

3.
DFT (PBE-GGA) results for crystalline RbAgGeTeS2 at its relaxed geometry.

The crystal system is orthorhombic.

It has space group Cmcm (No. 63), with a = 3.6059 Å, b = 16.6926 Å, c = 11.2059 Å, α = 90.00°, β = 90.00° and γ = 90.00°. The inequivalent atoms are Rb at (0.0000, 0.2430, 0.2500), Ag at (0.0000, 0.4315, 0.7500), Ge at (0.0000, 0.0000, 0.0000), Te at (0.0000, 0.0670, 0.7500) and S at (0.0000, 0.3967, 0.5395).

4.
DFT (PBE-GGA) results for crystalline La7Zn3 at its relaxed geometry.

Its energy relative to the elements is -0.149 eV per atom. The crystal system is hexagonal. The value obtained for the total moment is 0.0 μB/f.u.

It has space group P6_3mc (No. 186), with a = 10.4127 Å, b = 10.4127 Å, c = 6.6170 Å, α = 90.00°, β = 90.00° and γ = 120.00°. The inequivalent atoms are La at (0.0689, 0.5345, 0.0000), La at (0.1244, 0.2488, 0.7478), La at (0.3333, 0.6667, 0.5836) and Zn at (0.1966, 0.3933, 0.3018).

5.
DFT (PBE-GGA) results for crystalline Y2NiPd at its relaxed geometry.

Its energy relative to the elements is -0.248 eV per atom. The crystal system is cubic. The value obtained for the total moment is 0.0 μB/f.u.

It has space group F-43m (No. 216), with a = 6.7270 Å, b = 6.7270 Å, c = 6.7270 Å, α = 90.00°, β = 90.00° and γ = 90.00°. The inequivalent atoms are Y at (0.0000, 0.0000, 0.0000), Y at (0.2500, 0.2500, 0.2500), Ni at (0.2500, 0.2500, 0.7500) and Pd at (0.0000, 0.0000, 0.5000).

6.
DFT (PBE-GGA) results for crystalline InSnAu3Se4 at its relaxed geometry.

The crystal system is cubic.

It has space group P-43m (No. 215), with a = 6.2746 Å, b = 6.2746 Å, c = 6.2746 Å, α = 90.00°, β = 90.00° and γ = 90.00°. The inequivalent atoms are In at (0.0000, 0.0000, 0.0000), Sn at (0.5000, 0.5000, 0.5000), Au at (0.0000, 0.5000, 0.5000) and Se at (0.2411, 0.2411, 0.2411).

7.
DFT (PBE-GGA) results for crystalline ReAs at its relaxed geometry.

The crystal system is hexagonal. The value obtained for the total moment is 0.0 μB/f.u.

It has space group P-6m2 (No. 187), with a = 3.0895 Å, b = 3.0895 Å, c = 3.7419 Å, α = 90.00°, β = 90.00° and γ = 120.00°. The inequivalent atoms are Re at (0.0000, 0.0000, 0.0000) and As at (0.3333, 0.6667, 0.5000).

8.
DFT (PBE-GGA) results for crystalline DyZnAg at its relaxed geometry.

Its energy relative to the elements is -0.087 eV per atom. The crystal system is cubic. The value obtained for the total moment is 0.1 μB/f.u.

It has space group F-43m (No. 216), with a = 6.5316 Å, b = 6.5316 Å, c = 6.5316 Å, α = 90.00°, β = 90.00° and γ = 90.00°. The inequivalent atoms are Dy at (0.0000, 0.0000, 0.0000), Zn at (0.2500, 0.2500, 0.7500) and Ag at (0.0000, 0.0000, 0.5000).

Here are the calculated electronic total energy numbers, same order: -5.461; -6.806; -3.587; -3.975; -6.167; -3.456; -8.155; -2.984 (eV/atom).